1) This record from Alexandria describes a crystal of Li4MnO2F3 relaxed with PBEsol. The functional is SCAN.

Geometry as POSCAR:
```
Li4MnO2F3
1.0
4.991 0.000 0.000
-0.600 5.138 0.000
-1.781 -2.763 6.740
Li Mn O F
8 2 4 6
Cartesian
0.000 0.000 0.000
-0.676 2.624 1.250
-1.487 2.448 3.978
1.837 3.682 0.632
1.605 -1.381 3.370
0.774 -1.307 6.108
4.098 -0.073 2.762
3.287 -0.249 5.490
1.625 1.248 2.013
0.986 1.127 4.727
0.940 1.838 0.444
0.189 1.778 3.088
2.422 0.597 3.652
1.671 0.537 6.296
-0.086 -0.864 4.375
0.183 4.366 1.663
-0.662 1.730 5.671
3.273 0.645 1.069
2.428 -1.991 5.077
2.697 3.239 2.365
```

Calculated values
The calculated density comes out at 3299 kg/m3. The calculation puts the density of states at the Fermi level at 0.00 states/eV/f.u.



2) This record from Alexandria describes a crystal of Li4MnO2F3 relaxed with PBEsol. The functional is SCAN.

Geometry as POSCAR:
```
Li4MnO2F3
1.0
4.611 -1.931 0.000
4.611 1.931 0.000
-4.345 0.000 4.804
Li Mn O F
4 1 2 3
Cartesian
0.000 0.000 0.000
-0.645 0.000 2.679
2.063 0.000 3.692
5.705 0.000 1.934
2.685 0.000 0.906
1.125 0.000 1.774
7.441 0.000 0.842
-2.613 0.000 3.726
0.101 0.000 4.658
3.878 0.000 2.798
```

Calculated values
The calculated density comes out at 3332 kg/m3.



Which one sits at the top of the stability order? 1) does.



1) This record from Alexandria describes a crystal of LiMnVF6 relaxed with PBEsol. The functional is SCAN.

Geometry as POSCAR:
```
LiMnVF6
1.0
8.646 0.000 0.000
-4.323 7.488 0.000
0.000 0.000 4.610
Li Mn V F
3 3 3 18
Cartesian
0.000 0.000 0.000
0.000 4.992 2.315
4.323 2.496 2.294
-1.522 2.636 0.000
3.044 0.000 0.000
2.801 4.851 0.000
-2.960 5.127 2.305
1.363 2.360 2.305
5.921 0.000 2.305
-1.545 4.309 3.384
0.000 1.660 3.497
-2.885 6.658 3.497
-0.001 3.291 1.262
-1.472 5.843 1.262
1.438 0.830 1.112
1.364 3.995 3.384
2.851 1.644 3.347
0.181 6.671 3.384
2.778 3.179 1.226
1.474 5.841 1.262
4.504 0.816 1.226
2.885 6.657 3.497
5.797 1.647 3.347
4.322 4.197 3.347
7.208 0.830 1.112
4.323 5.827 1.112
5.687 3.493 1.226
```

Calculated values
The calculated density comes out at 3786 kg/m3.



2) This record from Alexandria describes a crystal of LiMnVF6 relaxed with PBEsol. The functional is SCAN.

Geometry as POSCAR:
```
LiMnVF6
1.0
4.692 0.000 0.000
0.000 4.692 0.000
0.000 0.000 9.337
Li Mn V F
2 2 2 12
Cartesian
0.000 0.000 0.000
2.346 2.346 4.669
0.000 0.000 6.244
2.346 2.346 1.575
0.000 0.000 3.111
2.346 2.346 7.780
0.895 0.895 1.621
0.914 0.914 4.581
0.976 0.976 7.805
1.370 3.321 3.136
1.432 3.260 9.250
1.451 3.240 6.290
3.240 1.451 6.290
3.260 1.432 9.250
3.321 1.370 3.136
3.716 3.716 7.805
3.778 3.778 4.581
3.797 3.797 1.621
```

Calculated values
The calculated density comes out at 3665 kg/m3.



Which one sits at the top of the stability order? 1) does.



1) This record from Alexandria describes a crystal of LiTiN2F relaxed with PBEsol. The functional is SCAN.

Geometry as POSCAR:
```
LiTiN2F
1.0
3.540 0.000 0.000
0.000 3.540 0.000
0.000 0.000 3.314
Li Ti N F
1 1 2 1
Cartesian
0.000 0.000 0.000
1.770 1.770 1.657
0.000 1.770 0.000
1.770 0.000 0.000
0.000 0.000 1.657
```

Calculated values
The calculated density comes out at 4070 kg/m3. The calculation puts the density of states at the Fermi level at 1.82 states/eV/f.u.



2) This record from Alexandria describes a crystal of LiTiN2F relaxed with PBEsol. The functional is SCAN.

Geometry as POSCAR:
```
LiTiN2F
1.0
3.848 0.000 0.000
0.000 3.848 0.000
0.000 0.000 4.026
Li Ti N F
1 1 2 1
Cartesian
0.000 0.000 0.000
1.924 1.924 2.013
0.000 1.924 2.013
1.924 0.000 2.013
1.924 1.924 0.000
```

Calculated values
The calculated density comes out at 2836 kg/m3. The calculation puts the density of states at the Fermi level at 2.09 states/eV/f.u.



Which one sits at the top of the stability order? 2) does.



1) This record from Alexandria describes a crystal of Li8NiO5F relaxed with PBEsol. The functional is SCAN.

Geometry as POSCAR:
```
Li8NiO5F
1.0
5.479 0.000 0.000
-2.739 4.745 0.000
0.000 0.000 10.764
Li Ni O F
16 2 10 2
Cartesian
-0.942 1.790 0.000
-1.826 3.361 9.136
0.742 1.483 9.136
1.655 0.099 3.755
0.000 3.163 2.050
0.000 3.163 7.608
-0.718 4.665 0.000
1.080 1.710 5.382
1.660 3.034 0.000
3.458 0.080 5.382
2.739 1.582 2.226
2.739 1.582 7.432
1.084 4.646 9.136
1.998 3.262 3.755
4.566 1.384 3.755
3.681 2.955 5.382
0.000 0.000 1.439
0.000 0.000 6.821
0.000 0.000 4.842
0.000 0.000 10.224
-0.882 1.538 1.868
-0.966 4.740 1.868
0.891 1.533 7.250
0.000 3.163 9.782
2.739 1.582 4.400
1.849 3.212 1.868
3.706 0.005 7.250
3.622 3.207 7.250
0.000 3.163 4.457
2.739 1.582 9.839
```

Calculated values
The calculated density comes out at 2531 kg/m3. The calculation puts the density of states at the Fermi level at 0.00 states/eV/f.u.



2) This record from Alexandria describes a crystal of Li8NiO5F relaxed with PBEsol. The functional is SCAN.

Geometry as POSCAR:
```
Li8NiO5F
1.0
5.237 0.000 0.000
-2.115 4.794 0.000
-2.518 -1.215 4.946
Li Ni O F
8 1 5 1
Cartesian
0.000 0.000 0.000
-1.709 -0.023 3.200
-0.857 1.628 1.733
-1.327 3.356 3.215
1.670 0.067 1.674
0.084 0.353 4.803
0.909 1.754 3.148
2.083 3.103 1.619
-2.467 1.695 4.760
-3.129 3.112 3.668
-1.352 3.273 1.069
-0.903 1.599 3.685
0.901 1.692 1.056
1.744 0.146 3.710
3.506 0.055 1.281
```

Calculated values
The calculated density comes out at 2851 kg/m3. The calculation puts the density of states at the Fermi level at 0.00 states/eV/f.u.



Which one sits at the top of the stability order? 2) does.



1) This record from Alexandria describes a crystal of Li4VO3F2 relaxed with PBEsol. The functional is SCAN.

Geometry as POSCAR:
```
Li4VO3F2
1.0
5.029 0.000 0.000
-0.835 4.980 0.000
-1.794 -2.708 6.787
Li V O F
8 2 6 4
Cartesian
0.000 0.000 0.000
-1.707 -0.276 5.307
-0.662 2.352 1.223
1.632 3.653 0.663
0.765 1.132 4.633
1.680 1.135 1.913
3.149 2.249 3.980
4.100 -0.071 2.568
1.520 -1.121 3.403
0.706 -1.461 6.158
0.951 1.792 0.164
0.027 4.153 1.787
0.035 -0.805 4.395
1.401 2.951 4.882
2.391 0.408 3.657
3.344 0.591 0.797
-0.130 1.763 2.995
-0.971 1.708 5.724
2.385 3.053 2.381
1.552 0.359 6.428
```

Calculated values
The calculated density comes out at 3218 kg/m3. The calculation puts the density of states at the Fermi level at 0.32 states/eV/f.u.



2) This record from Alexandria describes a crystal of Li4VO3F2 relaxed with PBEsol. The functional is SCAN.

Geometry as POSCAR:
```
Li4VO3F2
1.0
4.441 -2.862 0.000
4.441 2.862 0.000
-1.258 0.000 7.775
Li V O F
8 2 6 4
Cartesian
2.934 1.932 4.356
1.631 0.987 6.698
4.062 1.932 7.306
2.260 -0.987 2.811
5.365 0.987 4.964
3.563 -1.932 0.469
5.994 -0.987 1.076
4.691 -1.932 3.419
4.127 0.971 1.944
3.498 -0.971 5.831
3.518 1.850 0.540
4.736 1.850 3.347
3.498 0.802 5.831
4.127 -0.802 1.944
2.889 -1.850 4.428
4.107 -1.850 7.234
2.265 0.985 2.735
1.637 -0.985 6.622
5.989 0.985 1.152
5.360 -0.985 5.040
```

Calculated values
The calculated density comes out at 2767 kg/m3.



Which one sits at the top of the stability order? 1) does.



1) This record from Alexandria describes a crystal of Li7VO5F relaxed with PBEsol. The functional is SCAN.

Geometry as POSCAR:
```
Li7VO5F
1.0
5.163 0.000 0.000
-2.127 5.441 0.000
-2.410 -1.824 9.138
Li V O F
14 2 10 2
Cartesian
-1.603 1.845 2.800
-2.310 4.236 3.015
-2.075 0.632 8.527
-3.018 3.069 8.910
-0.556 1.113 4.887
-1.297 3.846 5.382
1.162 1.171 1.419
-0.535 2.447 7.719
1.924 -0.229 3.756
1.183 2.504 4.251
3.645 0.548 0.229
2.702 2.986 0.611
2.937 -0.619 6.123
2.230 1.773 6.338
0.230 3.451 1.884
0.396 0.166 7.254
-0.592 2.008 1.178
-1.212 0.919 6.659
-0.891 4.868 1.910
-0.560 3.098 3.832
-0.443 -0.472 8.829
1.069 4.090 0.309
1.186 0.519 5.307
1.517 -1.250 7.229
1.839 2.699 2.479
1.218 1.609 7.960
-3.098 3.481 5.589
3.725 0.136 3.550
```

Calculated values
The calculated density comes out at 2568 kg/m3.



2) This record from Alexandria describes a crystal of Li7VO5F relaxed with PBEsol. The functional is SCAN.

Geometry as POSCAR:
```
Li7VO5F
1.0
5.459 0.000 0.000
2.724 4.787 0.000
2.639 1.625 4.713
Li V O F
7 1 5 1
Cartesian
0.000 0.000 0.000
3.978 4.887 2.874
5.217 3.657 4.616
4.333 2.066 2.999
7.517 4.961 4.609
7.068 3.228 3.188
6.005 1.937 1.304
6.183 4.842 1.399
1.812 0.383 0.510
5.329 3.541 2.588
4.341 1.530 0.379
7.541 5.040 2.659
6.801 3.488 0.311
2.493 1.674 2.778
```

Calculated values
The calculated density comes out at 2677 kg/m3.



Which one sits at the top of the stability order? 1) does.



1) This record from Alexandria describes a crystal of LiV3O5F3 relaxed with PBEsol. The functional is SCAN.

Geometry as POSCAR:
```
LiV3O5F3
1.0
4.439 -5.430 0.000
4.439 5.430 0.000
-0.116 0.000 4.966
Li V O F
2 6 10 6
Cartesian
4.381 3.688 2.483
4.439 -3.688 0.000
2.258 0.921 2.335
4.219 2.037 4.858
2.200 -0.921 4.818
6.460 0.847 2.713
4.277 -2.037 2.375
6.518 -0.847 0.230
3.232 3.355 0.630
3.302 1.937 3.324
3.170 0.698 0.789
5.423 3.333 4.331
3.112 -0.698 3.271
3.360 -1.937 0.841
5.494 0.632 4.244
3.174 -3.355 3.113
5.552 -0.632 1.762
5.481 -3.333 1.848
1.093 0.554 4.001
1.151 -0.554 1.518
5.336 2.054 1.687
5.277 -2.054 4.170
7.586 0.584 0.994
7.528 -0.584 3.477
```

Calculated values
The calculated density comes out at 4117 kg/m3. The calculation puts the density of states at the Fermi level at 2.16 states/eV/f.u.



2) This record from Alexandria describes a crystal of LiV3O5F3 relaxed with PBEsol. The functional is SCAN.

Geometry as POSCAR:
```
LiV3O5F3
1.0
6.551 0.000 0.000
0.000 3.702 0.000
-2.997 0.000 11.623
Li V O F
2 6 10 6
Cartesian
0.000 0.000 0.000
1.008 1.851 4.496
-2.074 1.851 8.904
-0.200 0.000 7.163
0.193 0.000 10.508
2.606 0.000 2.049
4.802 1.851 2.764
4.332 1.851 6.041
-1.559 0.000 9.155
-0.666 1.851 7.474
2.064 0.000 0.410
0.832 0.000 5.938
2.942 1.851 2.344
1.622 0.000 11.236
4.445 0.000 2.454
3.278 1.851 7.774
4.667 0.000 6.253
5.354 1.851 4.375
-0.371 1.851 1.562
1.239 0.000 3.280
-0.134 1.851 10.214
0.982 0.000 8.691
2.785 1.851 5.069
3.698 1.851 10.589
```

Calculated values
The calculated density comes out at 3497 kg/m3. The calculation puts the density of states at the Fermi level at 2.71 states/eV/f.u.



Which one sits at the top of the stability order? 1) does.



1) This record from Alexandria describes a crystal of Li2VOF4 relaxed with PBEsol. The functional is SCAN.

Geometry as POSCAR:
```
Li2VOF4
1.0
5.068 0.000 0.000
0.000 6.849 0.000
0.000 0.000 9.591
Li V O F
8 4 4 16
Cartesian
0.146 1.536 2.104
0.194 0.593 8.798
2.340 6.256 4.003
2.388 5.313 6.900
2.680 1.889 7.486
2.728 2.831 0.793
4.874 4.018 5.588
4.922 4.961 2.691
0.033 3.873 9.001
2.501 2.976 4.205
2.567 6.401 0.590
5.035 0.449 5.385
1.187 0.229 1.071
1.347 6.620 5.866
3.721 3.195 8.520
3.881 3.654 3.725
0.323 0.114 3.514
0.657 2.246 5.104
0.720 4.414 7.307
1.177 2.319 8.902
1.358 4.530 4.107
1.814 2.436 2.512
1.877 4.603 0.309
2.211 6.735 8.310
2.857 3.311 6.076
3.191 1.179 4.486
3.254 5.860 2.283
3.711 1.105 0.689
3.892 5.744 5.484
4.348 0.989 7.079
4.411 5.671 9.282
4.745 3.539 1.281
```

Calculated values
The calculated density comes out at 3129 kg/m3. The calculation puts the density of states at the Fermi level at 0.00 states/eV/f.u.



2) This record from Alexandria describes a crystal of Li2VOF4 relaxed with PBEsol. The functional is SCAN.

Geometry as POSCAR:
```
Li2VOF4
1.0
5.100 -2.475 0.000
5.100 2.475 0.000
-2.405 0.000 6.375
Li V O F
4 2 2 8
Cartesian
0.864 0.032 1.564
-0.339 -0.032 4.752
8.134 0.032 1.624
6.931 -0.032 4.811
5.100 0.000 0.000
3.897 0.000 3.188
3.296 0.655 4.782
4.499 -0.655 1.594
4.116 1.612 0.254
2.419 0.800 2.294
4.881 1.612 2.934
1.216 -0.800 5.482
6.579 0.800 0.893
2.914 -1.612 3.442
5.376 -0.800 4.081
3.679 -1.612 6.122
```

Calculated values
The calculated density comes out at 3236 kg/m3.



Which one sits at the top of the stability order? 2) does.